Version 1
A geometry-optimized CaIr3F structure. Source: the Alexandria database, functional GGA-PBE.

Summary:
- Spin magnetization: 0.0 μB per cell

Cell lengths 4.3900, 4.3900, 4.3900 Å; angles 90.00, 90.00, 90.00 degrees
With the nearest neighbours (Å) after each atom.
Space group Pm-3m (No. 221)
Symmetry-distinct sites (fractional):
Ca 0.0000 0.0000 0.0000  12 Ir 3.10
Ir 0.0000 0.5000 0.5000  2 F 2.20
F 0.5000 0.5000 0.5000  6 Ir 2.20



Version 2
A geometry-optimized CaIr3F structure. Source: the Alexandria database, functional GGA-PBE.

Summary:
- Spin magnetization: 4.1 μB per cell

Cell lengths 4.9550, 4.9550, 4.9550 Å; angles 90.00, 90.00, 90.00 degrees
With the nearest neighbours (Å) after each atom.
Space group Pm-3m (No. 221)
Symmetry-distinct sites (fractional):
Ca 0.0000 0.0000 0.0000  6 Ir 2.48
Ir 0.0000 0.0000 0.5000  2 Ca 2.48
F 0.5000 0.5000 0.5000  12 Ir 3.50



The structure with the most favorable energy is version 1; the runner-up is 1694 meV/atom above it.



Version 1
A geometry-optimized CaIrF3 structure. Source: the Alexandria database, functional GGA-PBE.

Summary:
- Spin magnetization: 0.0 μB per cell

Cell lengths 4.3678, 4.3678, 4.3678 Å; angles 90.00, 90.00, 90.00 degrees
With the nearest neighbours (Å) after each atom.
Space group Pm-3m (No. 221)
Symmetry-distinct sites (fractional):
Ca 0.0000 0.0000 0.0000  12 F 3.09
Ir 0.5000 0.5000 0.5000  6 F 2.18
F 0.0000 0.5000 0.5000  2 Ir 2.18



Version 2
A geometry-optimized CaIrF3 structure. Source: the Alexandria database, functional GGA-PBE.

Summary:
- Spin magnetization: 2.4 μB per cell

Cell lengths 4.4001, 4.4001, 4.4001 Å; angles 90.00, 90.00, 90.00 degrees
With the nearest neighbours (Å) after each atom.
Space group Pm-3m (No. 221)
Symmetry-distinct sites (fractional):
Ca 0.0000 0.0000 0.0000  6 F 2.20
Ir 0.5000 0.5000 0.5000  12 F 3.11
F 0.0000 0.0000 0.5000  2 Ca 2.20



The structure with the most favorable energy is version 2; the runner-up is 128 meV/atom above it.



Version 1
A geometry-optimized CaIrNF2 structure. Source: the Alexandria database, functional GGA-PBE.

Summary:
- Spin magnetization: 0.0 μB per cell

Cell lengths 4.5986, 4.5986, 3.7034 Å; angles 90.00, 90.00, 90.00 degrees
With the nearest neighbours (Å) after each atom.
Space group P4/mmm (No. 123)
Symmetry-distinct sites (fractional):
Ca 0.0000 0.0000 0.0000  8 F 2.95, 4 N 3.25
Ir 0.5000 0.5000 0.5000  2 N 1.85
N 0.5000 0.5000 0.0000  2 Ir 1.85
F 0.0000 0.5000 0.5000  2 Ir 2.30



Version 2
A geometry-optimized CaIrNF2 structure. Source: the Alexandria database, functional GGA-PBE.

Summary:
- Spin magnetization: 3.4 μB per cell

Cell lengths 4.0533, 4.0533, 5.3226 Å; angles 90.00, 90.00, 90.00 degrees
With the nearest neighbours (Å) after each atom.
Space group P4/mmm (No. 123)
Symmetry-distinct sites (fractional):
Ca 0.0000 0.0000 0.0000  4 F 2.03
Ir 0.5000 0.5000 0.5000  4 N 2.87
N 0.0000 0.0000 0.5000  2 Ca 2.66, 4 Ir 2.87
F 0.0000 0.5000 0.0000  2 Ca 2.03



The structure with the most favorable energy is version 1; the runner-up is 919 meV/atom above it.



Version 1
A geometry-optimized K3CaF structure. Source: the Alexandria database, functional GGA-PBE.

Summary:
- Spin magnetization: 1.9 μB per cell

Cell lengths 7.6431, 7.6431, 7.6431 Å; angles 90.00, 90.00, 90.00 degrees
With the nearest neighbours (Å) after each atom.
Space group Pm-3m (No. 221)
Symmetry-distinct sites (fractional):
K 0.0000 0.0000 0.5000  2 Ca 3.82
Ca 0.0000 0.0000 0.0000  6 K 3.82
F 0.5000 0.5000 0.5000  12 K 5.40



Version 2
A geometry-optimized K3CaF structure. Source: the Alexandria database, functional GGA-PBE.

Summary:
- Spin magnetization: 0.0 μB per cell

Cell lengths 5.9308, 5.9308, 5.9308 Å; angles 90.00, 90.00, 90.00 degrees
With the nearest neighbours (Å) after each atom.
Space group Pm-3m (No. 221)
Symmetry-distinct sites (fractional):
K 0.0000 0.0000 0.5000  2 F 2.97
Ca 0.5000 0.5000 0.5000  12 K 4.19
F 0.0000 0.0000 0.0000  6 K 2.97



The structure with the most favorable energy is version 2; the runner-up is 823 meV/atom above it.



Version 1
A geometry-optimized KCaOF2 structure. Source: the Alexandria database, functional GGA-PBE.

Summary:
- Spin magnetization: 1.0 μB per cell

Cell lengths 4.4809, 4.4809, 4.6413 Å; angles 90.00, 90.00, 90.00 degrees
With the nearest neighbours (Å) after each atom.
Space group P4/mmm (No. 123)
Symmetry-distinct sites (fractional):
K 0.0000 0.0000 0.0000  4 O 3.17, 8 F 3.23
Ca 0.5000 0.5000 0.5000  4 F 2.24, 2 O 2.32
O 0.5000 0.5000 0.0000  2 Ca 2.32
F 0.0000 0.5000 0.5000  2 Ca 2.24



Version 2
A geometry-optimized KCaOF2 structure. Source: the Alexandria database, functional GGA-PBE.

Summary:
- Spin magnetization: 1.0 μB per cell

Cell lengths 4.6013, 4.6013, 4.6087 Å; angles 90.00, 90.00, 90.00 degrees
With the nearest neighbours (Å) after each atom.
Space group P4/mmm (No. 123)
Symmetry-distinct sites (fractional):
K 0.0000 0.0000 0.0000  4 F 2.30, 2 O 2.30
Ca 0.5000 0.5000 0.5000  4 O 3.25, 8 F 3.26
O 0.0000 0.0000 0.5000  2 K 2.30
F 0.0000 0.5000 0.0000  2 K 2.30



The structure with the most favorable energy is version 1; the runner-up is 827 meV/atom above it.



Version 1
A geometry-optimized Ca2LaF structure. Source: the Alexandria database, functional GGA-PBE.

Summary:
- Spin magnetization: 9.4 μB per cell

Cell lengths 8.2189, 8.2189, 8.2189 Å; angles 90.00, 90.00, 90.00 degrees
With the nearest neighbours (Å) after each atom.
Space group Fm-3m (No. 225)
Symmetry-distinct sites (fractional):
Ca 0.2500 0.2500 0.2500  4 F 3.56, 4 La 3.56
La 0.0000 0.0000 0.0000  8 Ca 3.56
F 0.0000 0.0000 0.5000  8 Ca 3.56



Version 2
A geometry-optimized Ca2LaF structure. Source: the Alexandria database, functional GGA-PBE.

Summary:
- Spin magnetization: 2.7 μB per cell

Cell lengths 7.3146, 7.3146, 10.2368 Å; angles 90.00, 90.00, 90.00 degrees
With the nearest neighbours (Å) after each atom.
Space group I-42d (No. 122)
Symmetry-distinct sites (fractional):
Ca 0.0354 0.2500 0.1250  2 F 2.25
La 0.0000 0.0000 0.5000  12 Ca 4.07-4.51, 4 La 4.46, 4 F 4.46
F 0.0000 0.0000 0.0000  4 Ca 2.25



Version 3
A geometry-optimized Ca2LaF structure. Source: the Alexandria database, functional GGA-PBE.

Summary:
- Spin magnetization: 1.9 μB per cell

Cell lengths 3.6160, 3.6160, 30.5333 Å; angles 90.00, 90.00, 120.00 degrees
With the nearest neighbours (Å) after each atom.
Space group R-3m (No. 166, hexagonal axes)
Symmetry-distinct sites (fractional):
Ca 0.0000 0.0000 0.1144  3 F 2.63
La 0.0000 0.0000 0.0000  2 Ca 3.49, 6 La 3.62
F 0.0000 0.0000 0.5000  6 Ca 2.63



The structure with the most favorable energy is version 2; the runner-up is 168 meV/atom above it.



Version 1
A geometry-optimized CaLaF2 structure. Source: the Alexandria database, functional GGA-PBE.

Summary:
- Spin magnetization: 9.4 μB per cell

Cell lengths 5.7002, 5.7002, 11.4489 Å; angles 90.00, 90.00, 90.00 degrees
With the nearest neighbours (Å) after each atom.
Space group I-42d (No. 122)
Symmetry-distinct sites (fractional):
Ca 0.0000 0.0000 0.0000  4 F 2.37
La 0.0000 0.0000 0.5000  4 F 2.58
F 0.2176 0.2500 0.1250  2 Ca 2.37, 2 La 2.58



Version 2
A geometry-optimized CaLaF2 structure. Source: the Alexandria database, functional GGA-PBE.

Summary:
- Spin magnetization: 3.3 μB per cell

Cell lengths 3.8198, 3.8198, 20.4050 Å; angles 90.00, 90.00, 120.00 degrees
With the nearest neighbours (Å) after each atom.
Space group R-3m (No. 166, hexagonal axes)
Symmetry-distinct sites (fractional):
Ca 0.0000 0.0000 0.0000  6 F 2.37
La 0.0000 0.0000 0.5000  2 F 2.55
F 0.0000 0.0000 0.3753  3 Ca 2.37, 1 La 2.55



The structure with the most favorable energy is version 2; the runner-up is 243 meV/atom above it.



Version 1
A geometry-optimized CaLaNF2 structure. Source: the Alexandria database, functional GGA-PBE.

Summary:
- Spin magnetization: 0.2 μB per cell

Cell lengths 4.6347, 4.6347, 4.8068 Å; angles 90.00, 90.00, 90.00 degrees
With the nearest neighbours (Å) after each atom.
Space group P4/mmm (No. 123)
Symmetry-distinct sites (fractional):
Ca 0.0000 0.0000 0.0000  4 N 3.28, 8 F 3.34
La 0.5000 0.5000 0.5000  4 F 2.32, 2 N 2.40
N 0.5000 0.5000 0.0000  2 La 2.40
F 0.0000 0.5000 0.5000  2 La 2.32



Version 2
A geometry-optimized CaLaNF2 structure. Source: the Alexandria database, functional GGA-PBE.

Summary:
- Spin magnetization: 0.0 μB per cell

Cell lengths 4.1297, 4.1297, 4.9794 Å; angles 90.00, 90.00, 90.00 degrees
With the nearest neighbours (Å) after each atom.
Space group P4/mmm (No. 123)
Symmetry-distinct sites (fractional):
Ca 0.0000 0.0000 0.0000  4 F 2.06
La 0.5000 0.5000 0.5000  4 N 2.92, 8 F 3.23
N 0.0000 0.0000 0.5000  2 Ca 2.49
F 0.0000 0.5000 0.0000  2 Ca 2.06



The structure with the most favorable energy is version 2; the runner-up is 157 meV/atom above it.



Version 1
A geometry-optimized CaLaN2F structure. Source: the Alexandria database, functional GGA-PBE.

Summary:
- Spin magnetization: 0.5 μB per cell

Cell lengths 4.3547, 4.3547, 4.2050 Å; angles 90.00, 90.00, 90.00 degrees
With the nearest neighbours (Å) after each atom.
Space group P4/mmm (No. 123)
Symmetry-distinct sites (fractional):
Ca 0.0000 0.0000 0.0000  2 F 2.10, 4 N 2.18
La 0.5000 0.5000 0.5000  8 N 3.03, 4 F 3.08
N 0.0000 0.5000 0.0000  2 Ca 2.18
F 0.0000 0.0000 0.5000  2 Ca 2.10



Version 2
A geometry-optimized CaLaN2F structure. Source: the Alexandria database, functional GGA-PBE.

Summary:
- Spin magnetization: 0.5 μB per cell

Cell lengths 4.4872, 4.4872, 4.6092 Å; angles 90.00, 90.00, 90.00 degrees
With the nearest neighbours (Å) after each atom.
Space group P4/mmm (No. 123)
Symmetry-distinct sites (fractional):
Ca 0.0000 0.0000 0.0000  4 F 3.17, 8 N 3.22
La 0.5000 0.5000 0.5000  4 N 2.24, 2 F 2.30
N 0.0000 0.5000 0.5000  2 La 2.24
F 0.5000 0.5000 0.0000  2 La 2.30



The structure with the most favorable energy is version 2; the runner-up is 38 meV/atom above it.



Version 1
A geometry-optimized Li2CaF4 structure. Source: the Alexandria database, functional GGA-PBE.

Summary:
- Spin magnetization: 0.0 μB per cell

Cell lengths 3.1504, 9.7324, 9.8734 Å; angles 90.00, 90.00, 90.00 degrees
With the nearest neighbours (Å) after each atom.
Space group Cmcm (No. 63)
Symmetry-distinct sites (fractional):
Li 0.0000 0.1300 0.0616  4 F 1.94-2.11
Ca 0.0000 0.3891 0.2500  6 F 2.27-2.32
F 0.0000 0.0568 0.2500  2 Li 1.99
F 0.0000 0.2198 0.6141  1 Li 1.94
F 0.0000 0.5000 0.0000  4 Li 2.11



Version 2
A geometry-optimized Li2CaF4 structure. Source: the Alexandria database, functional GGA-PBE.

Summary:
- Spin magnetization: 0.1 μB per cell

Cell lengths 4.4275, 4.4275, 11.1737 Å; angles 90.00, 90.00, 90.00 degrees
With the nearest neighbours (Å) after each atom.
Space group I4/mmm (No. 139)
Symmetry-distinct sites (fractional):
Li 0.0000 0.0000 0.1474  1 F 1.74
Ca 0.0000 0.0000 0.5000  6 F 2.20-2.21
F 0.0000 0.0000 0.3032  1 Li 1.74
F 0.0000 0.5000 0.0000  2 Ca 2.21



The structure with the most favorable energy is version 1; the runner-up is 257 meV/atom above it.



Version 1
A geometry-optimized LiCa2F structure. Source: the Alexandria database, functional GGA-PBE.

Summary:
- Spin magnetization: 0.0 μB per cell

Cell lengths 3.5951, 3.5951, 29.2292 Å; angles 90.00, 90.00, 120.00 degrees
With the nearest neighbours (Å) after each atom.
Space group R-3m (No. 166, hexagonal axes)
Symmetry-distinct sites (fractional):
Li 0.0000 0.0000 0.0000  2 Ca 3.18
Ca 0.0000 0.0000 0.1088  3 F 2.68
F 0.0000 0.0000 0.5000  6 Ca 2.68



Version 2
A geometry-optimized LiCa2F structure. Source: the Alexandria database, functional GGA-PBE.

Summary:
- Spin magnetization: 0.0 μB per cell

Cell lengths 6.9777, 6.9777, 9.0176 Å; angles 90.00, 90.00, 90.00 degrees
With the nearest neighbours (Å) after each atom.
Space group I-42d (No. 122)
Symmetry-distinct sites (fractional):
Li 0.0000 0.0000 0.0000  4 Ca 3.21
Ca 0.1488 0.2500 0.6250  2 F 2.32
F 0.0000 0.0000 0.5000  4 Ca 2.32



The structure with the most favorable energy is version 2; the runner-up is 267 meV/atom above it.